(1)
Entry from Alexandria via LeMat-Bulk: a geometry-optimized La4SnSb2 structure (PBE).

Properties
The energy above the most stable polymorph in this dataset is 579.5 meV per atom.

The structure in POSCAR format:
```
La4SnSb2
1.0
-2.4306 4.9855 1.7755
-5.1985 -2.6151 0.2265
-2.3880 -0.9597 8.9768
Sb Sn La
2 1 4
Cartesian
-3.4510 0.6385 3.0338
-6.5662 0.7721 7.9450
0.0000 0.0000 0.0000
-1.2153 2.4927 0.8877
-2.5993 -1.3076 0.1133
-2.9140 -0.1689 6.0360
-7.1031 1.5795 4.9428
```



(2)
Entry from Alexandria via LeMat-Bulk: a geometry-optimized Li2Tc3MoN6 structure (PBE).

The structure in POSCAR format:
```
Li2Tc3MoN6
1.0
-0.9992 -0.2003 -5.0803
-1.4482 -3.8302 3.1749
-3.6068 3.5691 1.3732
Mo N Li Tc
1 6 2 3
Cartesian
0.0000 0.0000 0.0000
-3.1520 1.6823 0.5683
-2.9021 -2.1438 -1.1005
-4.5219 0.2371 -1.7221
-1.5323 -0.6985 1.1899
-1.3886 0.4633 -1.4522
-4.6656 -0.9247 0.9201
-1.2969 -2.6077 0.3947
-1.1504 -1.4228 -2.3000
-3.1661 -1.3549 2.2906
-2.8880 0.8934 -2.8228
-3.0271 -0.2307 -0.2661
```



(3)
Entry from Alexandria via LeMat-Bulk: a geometry-optimized SbRhW2 structure (PBE).

The structure in POSCAR format:
```
SbRhW2
1.0
-0.1537 -1.2944 -2.6223
-0.1110 -3.8343 1.8991
-5.3671 0.2500 0.1911
W Rh Sb
2 1 1
Cartesian
-1.2729 0.0593 0.0453
-4.0942 0.1907 0.1458
-0.1323 -2.5643 -0.3616
-2.8159 -2.4394 -0.2660
```



(4)
Entry from Alexandria via LeMat-Bulk: a geometry-optimized Ce4Sb structure (PBE).

Properties
The energy above the most stable polymorph in this dataset is 0.0 meV per atom.

The structure in POSCAR format:
```
Ce4Sb
1.0
-2.8211 -2.1689 3.4626
5.3971 -2.6136 2.7600
-0.5353 8.8927 1.5744
Ce Sb
8 2
Cartesian
-1.4105 -1.0845 1.7313
1.4966 0.6188 1.6069
1.2880 -2.3913 3.1113
-1.1600 1.6026 3.6186
0.5442 3.4914 6.1901
1.6533 0.2402 5.0572
0.3875 3.8699 2.7398
3.2008 2.5076 4.1785
-2.1670 4.6888 4.7313
4.2078 -0.5787 3.0657
```



(5)
Entry from Alexandria via LeMat-Bulk: a geometry-optimized LaY2Fe structure (PBE).

Properties
The energy above the most stable polymorph in this dataset is 0.0 meV per atom. For the energy of formation from the pure elements, the calculation gives 0.387 eV/f.u.

The structure in POSCAR format:
```
LaY2Fe
1.0
3.3932 0.0528 0.0000
-0.0514 3.3933 0.0000
0.0000 0.0000 9.3514
Fe Y La
1 2 1
Cartesian
1.6709 1.7230 2.3379
0.0000 0.0000 3.9454
0.0000 0.0000 0.7303
1.6709 1.7230 7.0136
```



(6)
Entry from Alexandria via LeMat-Bulk: a geometry-optimized ScZnCuSb2 structure (PBE).

The structure in POSCAR format:
```
ScZnCuSb2
1.0
-3.7412 -3.4648 -0.1094
0.6264 -0.5196 -4.9652
3.4079 -3.7056 0.8177
Sb Sc Cu Zn
2 1 1 1
Cartesian
-1.8706 -1.7324 -0.0547
1.7040 -1.8528 0.4088
0.3132 -0.2598 -2.4826
0.1465 -3.8450 -2.1284
0.0000 0.0000 0.0000
```



(7)
Entry from Alexandria via LeMat-Bulk: a geometry-optimized AlAu4Se structure (PBE).

The structure in POSCAR format:
```
AlAu4Se
1.0
0.5671 -4.7625 2.7748
-4.2729 -3.5063 0.3876
0.1061 -4.8111 -2.7468
Se Au Al
1 4 1
Cartesian
-2.6998 -9.8099 0.3117
-3.4891 -6.6583 0.3499
-1.2961 -7.3117 -1.2198
-1.3492 -4.9024 0.1558
-1.0652 -7.2874 1.5454
0.0000 0.0000 0.0000
```



(8)
Entry from Alexandria via LeMat-Bulk: a geometry-optimized POs structure (PBE).

Properties
For the energy of formation from the pure elements, the calculation gives 1.538 eV/f.u.

The structure in POSCAR format:
```
POs
1.0
-1.4923 -0.1713 5.5860
-4.7202 -0.9397 3.2089
-1.9307 -3.8464 3.8649
Os P
2 2
Cartesian
-2.8646 -1.7439 4.4534
-5.2787 -3.2135 8.2065
-0.6800 -0.4140 1.0572
-7.4632 -4.5434 11.6026
```



Number 1: magnetic moment 0.0000 μB per atom, final energy -35.05 eV per formula unit. Number 2: magnetic moment 0.0510 μB per atom, final energy -97.69 eV per formula unit. Number 3: magnetic moment 0.0000 μB per atom, final energy -35.83 eV per formula unit. Number 4: magnetic moment 0.5704 μB per atom, final energy -29.65 eV per formula unit. Number 5: magnetic moment 0.0002 μB per atom, final energy -25.93 eV per formula unit. Number 6: magnetic moment 0.0000 μB per atom, final energy -17.05 eV per formula unit. Number 7: magnetic moment 0.0000 μB per atom, final energy -19.34 eV per formula unit. Number 8: magnetic moment 0.0000 μB per atom, final energy -15.10 eV per formula unit.